Density functional theory data (GGA-PBE) for a geometry-optimized MgHgAs structure.

As for the crystal system: trigonal. Its formation energy is -0.101 eV per atom. For the energy above the most stable polymorph in this dataset, the calculation gives 0.000 eV/atom. The value obtained for the spin magnetization is 0.000 μB/f.u.

It has space group P3m1 (No. 156), with a = 4.2953 Å, b = 4.2953 Å, c = 4.3162 Å, α = 90.00°, β = 90.00° and γ = 120.00°. Symmetry generates all atoms from Mg at (0.0000, 0.0000, 0.0000), Hg at (0.3333, 0.6667, 0.5964) and As at (0.6667, 0.3333, 0.2415).



Density functional theory data (GGA-PBE) for a geometry-optimized Mg3HgAs structure.

As for the crystal system: cubic. Its formation energy is -0.055 eV per atom. For the energy above the most stable polymorph in this dataset, the calculation gives 0.000 eV/atom. The value obtained for the spin magnetization is 0.000 μB/f.u.

It has space group Pm-3m (No. 221), with a = 5.051 Å, b = 5.051 Å, c = 5.051 Å, α = 90.00°, β = 90.00° and γ = 90.00°. Symmetry generates all atoms from Mg at (0.000, 0.000, 0.500), Hg at (0.500, 0.500, 0.500) and As at (0.000, 0.000, 0.000).



Density functional theory data (GGA-PBE) for a geometry-optimized MgHgAs2 structure.

As for the crystal system: tetragonal. Its formation energy is 0.071 eV per atom. For the energy above the most stable polymorph in this dataset, the calculation gives 0.132 eV/atom. The value obtained for the spin magnetization is 0.000 μB/f.u.

It has space group P4/mmm (No. 123), with a = 4.468 Å, b = 4.468 Å, c = 4.151 Å, α = 90.00°, β = 90.00° and γ = 90.00°. Symmetry generates all atoms from Mg at (0.000, 0.000, 0.000), Hg at (0.500, 0.500, 0.000) and As at (0.000, 0.500, 0.500).



Density functional theory data (GGA-PBE) for a geometry-optimized MgHgAs2 structure.

As for the crystal system: tetragonal. Its formation energy is 0.025 eV per atom. For the energy above the most stable polymorph in this dataset, the calculation gives 0.085 eV/atom. The value obtained for the spin magnetization is 0.000 μB/f.u.

It has space group P4mm (No. 99), with a = 3.521 Å, b = 3.521 Å, c = 7.027 Å, α = 90.00°, β = 90.00° and γ = 90.00°. Symmetry generates all atoms from Mg at (0.000, 0.000, 0.000), Hg at (0.500, 0.500, 0.759), As at (0.000, 0.000, 0.418) and As at (0.500, 0.500, 0.266).



Density functional theory data (GGA-PBE) for a geometry-optimized MgHgAs2 structure.

As for the crystal system: trigonal. Its formation energy is 0.074 eV per atom. For the energy above the most stable polymorph in this dataset, the calculation gives 0.135 eV/atom. The value obtained for the spin magnetization is 0.000 μB/f.u.

It has space group R-3m (No. 166, hexagonal axes), with a = 3.1348 Å, b = 3.1348 Å, c = 31.0086 Å, α = 90.00°, β = 90.00° and γ = 120.00°. Symmetry generates all atoms from Mg at (0.0000, 0.0000, 0.0000), Hg at (0.0000, 0.0000, 0.5000) and As at (0.0000, 0.0000, 0.2644).



Density functional theory data (GGA-PBE) for a geometry-optimized MgHg2As structure.

As for the crystal system: orthorhombic. Its formation energy is 0.082 eV per atom. The value obtained for the spin magnetization is 0.000 μB/f.u.

It has space group Cmmm (No. 65), with a = 4.318 Å, b = 4.810 Å, c = 8.459 Å, α = 90.00°, β = 90.00° and γ = 90.00°. Symmetry generates all atoms from Mg at (0.000, 0.000, 0.000), Hg at (0.000, 0.500, 0.238) and As at (0.000, 0.000, 0.500).



Density functional theory data (GGA-PBE) for a geometry-optimized MgHgAs2 structure.

As for the crystal system: tetragonal. Its formation energy is -0.018 eV per atom. For the energy above the most stable polymorph in this dataset, the calculation gives 0.042 eV/atom. The value obtained for the spin magnetization is 0.000 μB/f.u.

It has space group P4/mmm (No. 123), with a = 2.964 Å, b = 2.964 Å, c = 10.342 Å, α = 90.00°, β = 90.00° and γ = 90.00°. Symmetry generates all atoms from Mg at (0.000, 0.000, 0.000), Hg at (0.000, 0.000, 0.500) and As at (0.500, 0.500, 0.192).



Density functional theory data (GGA-PBE) for a geometry-optimized MgHg2As structure.

As for the crystal system: tetragonal. Its formation energy is 0.042 eV per atom. The value obtained for the spin magnetization is 0.000 μB/f.u.

It has space group I-42d (No. 122), with a = 8.233 Å, b = 8.233 Å, c = 5.614 Å, α = 90.00°, β = 90.00° and γ = 90.00°. Symmetry generates all atoms from Mg at (0.000, 0.000, 0.000), Hg at (0.224, 0.250, 0.625) and As at (0.000, 0.000, 0.500).



no.,V (Å³/atom)
1,22.99
2,25.77
3,20.71
4,21.78
5,21.99
6,21.97
7,22.72
8,23.78